(1)
The following is a DFT calculation (GGA-PBE) of a relaxed structure of Dy2Be4Si3Ru.

- M_tot: 0.0 μB/f.u.
- DOS at the Fermi energy: 3.397 states/eV/f.u.
- DFT total energy: -5.427 eV/atom
- Energy relative to the elements, uncorrected: -462 meV per atom

Lattice parameters (Å, degrees): 3.7980 3.7980 9.9179 90.00 90.00 90.00
Fractional positions:
Dy (0.5000, 0.0000, 0.2459)
Dy (0.0000, 0.5000, 0.7541)
Be (0.5000, 0.5000, 0.0000)
Be (0.0000, 0.0000, 0.0000)
Be (0.5000, 0.0000, 0.6355)
Be (0.0000, 0.5000, 0.3645)
Si (0.0000, 0.0000, 0.5000)
Si (0.5000, 0.0000, 0.8676)
Si (0.0000, 0.5000, 0.1324)
Ru (0.5000, 0.5000, 0.5000)


(2)
The following is a DFT calculation (GGA-PBE) of a relaxed structure of Ta2ZnMo.

- M_tot: 0.0 μB/f.u.
- DOS at the Fermi energy: 2.942 states/eV/f.u.
- Energy relative to the elements: 0.12 eV per atom
- DFT total energy: -8.829 eV/atom

Lattice parameters (Å, degrees): 2.7459 2.7459 8.9290 90.00 90.00 90.00
Fractional positions:
Mo (0.5000, 0.5000, 0.7338)
Ta (0.0000, 0.0000, 0.9982)
Ta (0.5000, 0.5000, 0.2631)
Zn (0.0000, 0.0000, 0.5049)


(3)
The following is a DFT calculation (GGA-PBE) of a relaxed structure of SmZn2GaIr2.

- M_tot: 0.0 μB/f.u.
- DOS at the Fermi energy: 5.278 states/eV/f.u.
- Energy relative to the elements: -0.05 eV per atom
- DFT total energy: -4.720 eV/atom

Lattice parameters (Å, degrees): 4.5925 4.5925 5.6355 90.00 90.00 90.00
Fractional positions:
Sm (0.0000, 0.0000, 0.5000)
Zn (0.5000, 0.5000, 0.7346)
Zn (0.5000, 0.5000, 0.2654)
Ga (0.0000, 0.0000, 0.0000)
Ir (0.5000, 0.0000, 0.0000)
Ir (0.0000, 0.5000, 0.0000)


(4)
The following is a DFT calculation (GGA-PBE) of a relaxed structure of DySi2Ni3.

- M_tot: 0.0 μB/f.u.
- DOS at the Fermi energy: 3.802 states/eV/f.u.
- DFT total energy: -6.175 eV/atom
- Energy relative to the elements, uncorrected: -709 meV per atom

Lattice parameters (Å, degrees): 3.7896 7.4928 6.9754 114.23 90.00 104.65
Fractional positions:
Dy (0.8464, 0.6927, 0.9308)
Dy (0.1536, 0.3073, 0.0692)
Si (0.4800, 0.9599, 0.8178)
Si (0.5200, 0.0401, 0.1822)
Si (0.8141, 0.6282, 0.3339)
Si (0.1859, 0.3718, 0.6661)
Ni (0.3166, 0.6332, 0.5601)
Ni (0.9622, 0.9244, 0.6329)
Ni (0.5927, 0.1853, 0.6702)
Ni (0.4073, 0.8147, 0.3298)
Ni (0.0378, 0.0756, 0.3671)
Ni (0.6834, 0.3668, 0.4399)


(5)
The following is a DFT calculation (GGA-PBE) of a relaxed structure of YCuW.

- M_tot: 0.0 μB/f.u.
- Polymorph energy (0 for the lowest one): 477 meV/atom
- DOS at the Fermi energy: 3.672 states/eV/f.u.
- Energy relative to the elements: 0.88 eV per atom
- DFT total energy: -6.956 eV/atom

Lattice parameters (Å, degrees): 4.4495 4.4495 4.4495 60.00 60.00 60.00
Fractional positions:
Cu (0.7500, 0.7500, 0.7500)
W (0.0000, 0.0000, 0.0000)
Y (0.5000, 0.5000, 0.5000)


(6)
The following is a DFT calculation (GGA-PBE) of a relaxed structure of GaFe2As2.

- M_tot: 0.9 μB/f.u.
- Polymorph energy (0 for the lowest one): 202 meV/atom
- DOS at the Fermi energy: 3.955 states/eV/f.u.
- Energy relative to the elements: 0.26 eV per atom
- DFT total energy: -5.588 eV/atom

Lattice parameters (Å, degrees): 3.7130 3.7130 6.0875 72.24 72.24 90.00
Fractional positions:
As (0.7500, 0.2500, 0.5000)
As (0.2500, 0.7500, 0.5000)
Fe (0.3855, 0.3855, 0.2290)
Fe (0.6145, 0.6145, 0.7710)
Ga (0.0000, 0.0000, 0.0000)


(7)
The following is a DFT calculation (GGA-PBE) of a relaxed structure of YErMgHg.

- M_tot: 0.0 μB/f.u.
- Polymorph energy (0 for the lowest one): 18 meV/atom
- DOS at the Fermi energy: 4.340 states/eV/f.u.
- Energy relative to the elements: -0.27 eV per atom
- DFT total energy: -3.505 eV/atom

Lattice parameters (Å, degrees): 5.2792 5.2792 5.2792 60.00 60.00 60.00
Fractional positions:
Y (0.7500, 0.7500, 0.7500)
Mg (0.0000, 0.0000, 0.0000)
Hg (0.5000, 0.5000, 0.5000)
Er (0.2500, 0.2500, 0.2500)


(8)
The following is a DFT calculation (GGA-PBE) of a relaxed structure of ScHgO2F.

- M_tot: 0.1 μB/f.u.
- DOS at the Fermi energy: 1.529 states/eV/f.u.
- DFT total energy: -5.704 eV/atom
- Energy relative to the elements, uncorrected: -2019 meV per atom

Lattice parameters (Å, degrees): 4.1678 4.1678 4.0104 90.00 90.00 90.00
Fractional positions:
Sc (0.0000, 0.0000, 0.0000)
Hg (0.5000, 0.5000, 0.5000)
O (0.0000, 0.5000, 0.0000)
O (0.5000, 0.0000, 0.0000)
F (0.0000, 0.0000, 0.5000)


(9)
The following is a DFT calculation (GGA-PBE) of a relaxed structure of PmCdGa.

- M_tot: 0.0 μB/f.u.
- Polymorph energy (0 for the lowest one): 55 meV/atom
- DOS at the Fermi energy: 1.637 states/eV/f.u.
- Energy relative to the elements: -0.47 eV per atom
- DFT total energy: -3.372 eV/atom

Lattice parameters (Å, degrees): 3.6898 4.7317 4.7317 120.00 90.00 90.00
Fractional positions:
Cd (0.1662, 0.0000, 0.0000)
Ga (0.1674, 0.6667, 0.3333)
Pm (0.6664, 0.3333, 0.6667)


(10)
The following is a DFT calculation (GGA-PBE) of a relaxed structure of AgSnGe2Ir.

- M_tot: 0.0 μB/f.u.
- DOS at the Fermi energy: 2.593 states/eV/f.u.
- Energy relative to the elements: 1.53 eV per atom
- DFT total energy: -3.457 eV/atom

Lattice parameters (Å, degrees): 5.1299 4.9886 5.1299 90.00 90.00 90.00
Fractional positions:
Ge (0.0000, 0.0000, 0.5000)
Ge (0.5000, 0.0000, 0.0000)
Ir (0.5000, 0.5000, 0.5000)
Sn (0.0000, 0.0000, 0.0000)
Ag (0.0000, 0.5000, 0.0000)


(11)
The following is a DFT calculation (GGA-PBE) of a relaxed structure of ZrBe2Cd.

- M_tot: 0.0 μB/f.u.
- DOS at the Fermi energy: 3.499 states/eV/f.u.
- Energy relative to the elements: 0.07 eV per atom
- DFT total energy: -4.158 eV/atom

Lattice parameters (Å, degrees): 3.6941 5.8486 5.8514 143.26 108.43 89.87
Fractional positions:
Be (0.9580, 0.0415, 0.9166)
Be (0.2906, 0.7091, 0.5808)
Zr (0.7231, 0.2765, 0.4452)
Cd (0.5284, 0.4728, 0.0574)


(12)
The following is a DFT calculation (GGA-PBE) of a relaxed structure of ZrRe2Se.

- M_tot: 0.0 μB/f.u.
- DOS at the Fermi energy: 2.646 states/eV/f.u.
- DFT total energy: -8.885 eV/atom
- Energy relative to the elements, uncorrected: 347 meV per atom

Lattice parameters (Å, degrees): 4.9832 4.9832 3.1448 90.00 90.00 117.20
Fractional positions:
Re (0.0000, 0.0000, 0.0000)
Re (0.5000, 0.5000, 0.0000)
Se (0.5000, 0.0000, 0.5000)
Zr (0.0000, 0.5000, 0.5000)